# Er3HfH

A relaxed Er3HfH crystal (PBE, Alexandria).

- DFT total energy: -27.3 eV for the cell shown

abc: 4.801 4.801 4.801
angles: 90.00 90.00 90.00
Space group Pm-3m (No. 221)
Asymmetric unit:
Er 0.000 0.000 0.500 x3
Hf 0.500 0.500 0.500 x1
H 0.000 0.000 0.000 x1

=====

# InGa2F6

A relaxed InGa2F6 crystal (PBE, Alexandria).

- Energy above the lowest structure with this stoichiometry: 0.0 meV per atom
- DFT total energy: -39.8 eV for the cell shown

abc: 5.5520 5.5520 5.8960
angles: 90.00 90.00 120.00
Space group P312 (No. 149)
Asymmetric unit:
In 0.0000 0.0000 0.0000 x1
Ga 0.3333 0.6667 0.5000 x1
Ga 0.6667 0.3333 0.5000 x1
F 0.0281 0.3943 0.6859 x6

=====

# Zr2CuSb4

A relaxed Zr2CuSb4 crystal (PBE, Alexandria).

- DFT total energy: -79.4 eV for the cell shown

abc: 14.704 3.872 6.566
angles: 90.00 116.00 90.00
Space group C2/m (No. 12)
Asymmetric unit:
Zr 0.245 0.000 0.252 x4
Cu 0.000 0.000 0.000 x2
Sb 0.102 0.000 0.457 x4
Sb 0.107 0.500 0.926 x4

=====

# Li2HgAu

A relaxed Li2HgAu crystal (PBE, Alexandria).

- Energy above the lowest structure with this stoichiometry: 269.1 meV per atom
- DFT total energy: -32.6 eV for the cell shown

abc: 4.266 4.266 17.877
angles: 90.00 90.00 90.00
Space group I-42d (No. 122)
Asymmetric unit:
Li 0.229 0.250 0.125 x8
Hg 0.000 0.000 0.500 x4
Au 0.000 0.000 0.000 x4

=====

# NaSnI2

A relaxed NaSnI2 crystal (PBE, Alexandria).

- Energy above the lowest structure with this stoichiometry: 268.0 meV per atom
- DFT total energy: -40.5 eV for the cell shown

abc: 6.335 6.335 18.295
angles: 90.00 90.00 90.00
Space group I-42d (No. 122)
Asymmetric unit:
Na 0.000 0.000 0.000 x4
Sn 0.000 0.000 0.500 x4
I 0.248 0.250 0.125 x8

=====

# Ac4LaY4

A relaxed Ac4LaY4 crystal (PBE, Alexandria).

- DFT total energy: -93.6 eV for the cell shown

abc: 11.273 11.273 5.398
angles: 90.00 90.00 90.00
Space group I4/mmm (No. 139)
Asymmetric unit:
Ac 0.000 0.327 0.000 x8
La 0.000 0.000 0.000 x2
Y 0.164 0.164 0.500 x8

=====

# Nd2NiCl

A relaxed Nd2NiCl crystal (PBE, Alexandria).

- Energy above the lowest structure with this stoichiometry: 21.2 meV per atom
- DFT total energy: -62.1 eV for the cell shown

abc: 4.0098 4.0098 22.7496
angles: 90.00 90.00 120.00
Space group R3m (No. 160, hexagonal axes)
Asymmetric unit:
Nd 0.0000 0.0000 0.0000 x3
Nd 0.0000 0.0000 0.1986 x3
Ni 0.0000 0.0000 0.5995 x3
Cl 0.0000 0.0000 0.4307 x3

=====

# Er4BiPd2

A relaxed Er4BiPd2 crystal (PBE, Alexandria).

- DFT total energy: -110.8 eV for the cell shown

abc: 4.5420 4.5420 32.2112
angles: 90.00 90.00 120.00
Space group R-3m (No. 166, hexagonal axes)
Asymmetric unit:
Er 0.0000 0.0000 0.1099 x6
Er 0.0000 0.0000 0.3009 x6
Bi 0.0000 0.0000 0.5000 x3
Pd 0.0000 0.0000 0.3976 x6

=====

| no. | calculated volume (Å³/f.u.) |
| --- | --- |
| 1 | 110.6 |
| 2 | 157.4 |
| 3 | 168.0 |
| 4 | 81.3 |
| 5 | 183.6 |
| 6 | 343.0 |
| 7 | 105.6 |
| 8 | 191.8 |